# 1
{"formula": "TaNiRu2", "functional": "PBE", "state": "relaxed", "crystal_system": "monoclinic", "sg": "No. 6", "formation_enthalpy_0k_mev_per_atom": -129, "lattice": [[-2.737, -2.273, 1.228], [0.344, -1.628, -2.246], [4.001, -4.579, 0.442]], "species": ["Ru", "Ru", "Ni", "Ta"], "fractional_positions": [[0.000, 0.997, 0.003], [0.500, 0.268, 0.232], [0.500, 0.744, 0.756], [0.000, 0.491, 0.510]]}

***

# 2
{"formula": "TaNiRu2", "functional": "PBE", "state": "relaxed", "crystal_system": "tetragonal", "sg": "No. 122", "formation_enthalpy_0k_mev_per_atom": 338, "lattice": [[-0.094, -1.958, -3.236], [2.676, -2.321, 1.327], [-4.873, -7.343, 2.373]], "species": ["Ni", "Ni", "Ru", "Ru", "Ru", "Ru", "Ta", "Ta"], "fractional_positions": [[0.500, 0.500, 0.000], [0.250, 0.750, 0.500], [0.375, 0.421, 0.750], [0.875, 0.829, 0.750], [0.171, 0.625, 0.250], [0.579, 0.125, 0.250], [0.750, 0.250, 0.500], [0.000, 0.000, 0.000]]}

***

# 3
{"formula": "TaNiRu2", "functional": "PBE", "state": "relaxed", "crystal_system": "monoclinic", "sg": "No. 8", "formation_enthalpy_0k_mev_per_atom": -78, "lattice": [[4.713, 0.006, 0.000], [3.831, 2.745, 0.000], [0.908, 0.293, 4.442]], "species": ["Ta", "Ru", "Ru", "Ni"], "fractional_positions": [[0.505, 0.505, 0.482], [0.997, 0.997, 0.991], [0.745, 0.745, 0.772], [0.252, 0.252, 0.255]]}

***

# 4
{"formula": "TaNi2Ru2", "functional": "PBE", "state": "relaxed", "crystal_system": "tetragonal", "sg": "No. 127", "polymorph_energy_ev_per_atom": 0.087, "formation_enthalpy_0k_mev_per_atom": 123, "lattice": [[-6.538, -2.524, -0.326], [1.038, -1.825, -6.694], [0.932, -2.522, 0.832]], "species": ["Ni", "Ni", "Ni", "Ni", "Ru", "Ru", "Ru", "Ru", "Ta", "Ta"], "fractional_positions": [[0.331, 0.169, 0.500], [0.831, 0.331, 0.500], [0.669, 0.831, 0.500], [0.169, 0.669, 0.500], [0.128, 0.372, 0.000], [0.872, 0.628, 0.000], [0.628, 0.128, 0.000], [0.372, 0.872, 0.000], [0.500, 0.500, 0.000], [0.000, 0.000, 0.000]]}

***

# 5
{"formula": "Ta2NiRu", "functional": "PBE", "state": "relaxed", "crystal_system": "orthorhombic", "sg": "No. 69", "formation_enthalpy_0k_mev_per_atom": -245, "lattice": [[4.677, 0.006, -0.009], [1.118, 4.541, 0.009], [-2.891, -2.281, 2.878]], "species": ["Ru", "Ni", "Ta", "Ta"], "fractional_positions": [[0.250, 0.750, 0.500], [0.750, 0.250, 0.500], [0.500, 0.500, 0.000], [0.000, 0.000, 0.000]]}

***

# 6
{"formula": "TaNiRu2", "functional": "PBE", "state": "relaxed", "crystal_system": "tetragonal", "sg": "No. 119", "formation_enthalpy_0k_mev_per_atom": -200, "lattice": [[4.731, -0.007, -0.015], [1.660, 4.430, 0.018], [-3.185, -2.225, 2.699]], "species": ["Ta", "Ru", "Ru", "Ni"], "fractional_positions": [[0.500, 0.500, 0.000], [0.000, 0.000, 0.000], [0.750, 0.250, 0.500], [0.250, 0.750, 0.500]]}